(1)
Entry from Alexandria: Li2CdTc after structural relaxation (PBE).

Cell lengths 7.0808, 7.0808, 5.4834 Å; angles 90.00, 90.00, 90.00 degrees
With the nearest neighbours (Å) after each atom.
Space group I-42d (No. 122)
Unique sites:
Li1 0.2487 0.2500 0.1250 (multiplicity 8)  2 Cd 2.59, 2 Tc 2.60, 2 Li 2.74
Cd1 0.0000 0.0000 0.0000 (multiplicity 4)  4 Li 2.59, 2 Tc 2.74
Tc1 0.0000 0.0000 0.5000 (multiplicity 4)  4 Li 2.60, 2 Cd 2.74

Results
Total magnetic moment, μB/f.u.: 2.04
Theoretical density, g/cm³: 5.419
Energy of formation from the pure elements, meV per atom: 644.6

=====

(2)
Entry from Alexandria: Li2CdTc after structural relaxation (PBE).

Cell lengths 2.7017, 2.7017, 9.1665 Å; angles 90.00, 90.00, 90.00 degrees
With the nearest neighbours (Å) after each atom.
Space group P4mm (No. 99)
Unique sites:
Li1 0.0000 0.0000 0.0000 (multiplicity 1)  4 Li 2.70, 4 Cd 2.93
Li2 0.5000 0.5000 0.2718 (multiplicity 1)  4 Li 2.70, 4 Tc 2.84
Cd1 0.5000 0.5000 0.7572 (multiplicity 1)  4 Cd 2.70, 4 Li 2.93, 4 Tc 3.02
Tc1 0.0000 0.0000 0.5015 (multiplicity 1)  4 Tc 2.70, 4 Li 2.84, 4 Cd 3.02

Results
Total magnetic moment, μB/f.u.: 0.00
Theoretical density, g/cm³: 5.567
Energy of formation from the pure elements, meV per atom: 216.6

=====

(3)
Entry from Alexandria: LiCd2Tc after structural relaxation (PBE).

Cell lengths 2.7753, 2.7753, 9.2184 Å; angles 90.00, 90.00, 90.00 degrees
With the nearest neighbours (Å) after each atom.
Space group P4mm (No. 99)
Unique sites:
Li1 0.0000 0.0000 0.0000 (multiplicity 1)  4 Li 2.78, 4 Tc 2.85, 4 Cd 2.99
Cd1 0.0000 0.0000 0.4664 (multiplicity 1)  4 Cd 2.78, 4 Tc 2.97
Cd2 0.5000 0.5000 0.7552 (multiplicity 1)  4 Cd 2.78, 4 Li 2.99
Tc1 0.5000 0.5000 0.2244 (multiplicity 1)  4 Tc 2.78, 4 Li 2.85, 4 Cd 2.97

Results
Total magnetic moment, μB/f.u.: 0.00
Theoretical density, g/cm³: 7.712
Energy of formation from the pure elements, meV per atom: 270.1

=====

(4)
Entry from Alexandria: LiCd2Tc after structural relaxation (PBE).

Cell lengths 4.0288, 4.0288, 8.5641 Å; angles 90.00, 90.00, 90.00 degrees
With the nearest neighbours (Å) after each atom.
Space group I-4m2 (No. 119)
Unique sites:
Li1 0.0000 0.0000 0.0000 (multiplicity 2)  8 Cd 2.85-2.94, 4 Tc 2.94
Cd1 0.0000 0.0000 0.5000 (multiplicity 2)  4 Li 2.85, 4 Cd 2.94, 4 Tc 2.94
Cd2 0.0000 0.5000 0.2500 (multiplicity 2)  4 Tc 2.85, 4 Cd 2.94, 4 Li 2.94
Tc1 0.0000 0.5000 0.7500 (multiplicity 2)  8 Cd 2.85-2.94, 4 Li 2.94

Results
Total magnetic moment, μB/f.u.: 0.00
Theoretical density, g/cm³: 7.878
Energy of formation from the pure elements, meV per atom: 345.5

=====

(5)
Entry from Alexandria: Li2CdTc after structural relaxation (PBE).

Cell lengths 2.6837, 4.7388, 9.5684 Å; angles 90.00, 90.00, 90.00 degrees
With the nearest neighbours (Å) after each atom.
Space group Imm2 (No. 44)
Unique sites:
Li1 0.0000 0.0000 0.0000 (multiplicity 2)  4 Li 2.59-2.68, 4 Cd 2.74, 2 Tc 2.80
Li2 0.0000 0.5000 0.2682 (multiplicity 2)  4 Li 2.59-2.68, 2 Cd 2.67, 4 Tc 2.73
Cd1 0.0000 0.0000 0.5269 (multiplicity 2)  6 Li 2.67-2.74, 2 Cd 2.68, 2 Tc 2.91
Tc1 0.0000 0.5000 0.7568 (multiplicity 2)  2 Tc 2.68, 6 Li 2.73-2.80, 2 Cd 2.91

Results
Total magnetic moment, μB/f.u.: 0.00
Theoretical density, g/cm³: 6.122
Energy of formation from the pure elements, meV per atom: 283.1

=====

(6)
Entry from Alexandria: LiCd2Tc after structural relaxation (PBE).

Cell lengths 6.5911, 6.5911, 6.5911 Å; angles 90.00, 90.00, 90.00 degrees
With the nearest neighbours (Å) after each atom.
Space group Fm-3m (No. 225)
Unique sites:
Li1 0.0000 0.0000 0.0000 (multiplicity 4)  8 Cd 2.85
Cd1 0.2500 0.2500 0.2500 (multiplicity 8)  4 Li 2.85, 4 Tc 2.85
Tc1 0.0000 0.0000 0.5000 (multiplicity 4)  8 Cd 2.85

Results
Total magnetic moment, μB/f.u.: 1.84
Theoretical density, g/cm³: 7.650
Energy of formation from the pure elements, meV per atom: 282.6

=====

(7)
Entry from Alexandria: Li2CdTc after structural relaxation (PBE).

Cell lengths 2.6167, 4.5381, 5.5156 Å; angles 90.00, 103.70, 90.00 degrees
With the nearest neighbours (Å) after each atom.
Space group Pm (No. 6)
Unique sites:
Li1 0.0000 0.0000 0.0000 (multiplicity 1)  4 Li 2.61-2.62, 3 Tc 2.78-2.90
Li2 0.1106 0.5000 0.2406 (multiplicity 1)  4 Li 2.61-2.62, 1 Cd 2.63, 2 Tc 2.92
Cd1 0.3610 0.5000 0.7315 (multiplicity 1)  2 Cd 2.62, 1 Li 2.63
Tc1 0.7347 0.0000 0.4815 (multiplicity 1)  2 Tc 2.62, 7 Li 2.78-2.92

Results
Total magnetic moment, μB/f.u.: 0.39
Theoretical density, g/cm³: 5.853
Energy of formation from the pure elements, meV per atom: 245.6

=====

(8)
Entry from Alexandria: LiCd2Tc after structural relaxation (PBE).

Cell lengths 2.8232, 2.8232, 8.8133 Å; angles 90.00, 90.00, 90.00 degrees
With the nearest neighbours (Å) after each atom.
Space group P4/mmm (No. 123)
Unique sites:
Li1 0.0000 0.0000 0.0000 (multiplicity 1)  4 Li 2.82, 8 Cd 2.97
Cd1 0.5000 0.5000 0.2497 (multiplicity 2)  4 Cd 2.82, 4 Li 2.97, 4 Tc 2.98
Tc1 0.0000 0.0000 0.5000 (multiplicity 1)  4 Tc 2.82, 8 Cd 2.98

Results
Total magnetic moment, μB/f.u.: 0.63
Theoretical density, g/cm³: 7.795
Energy of formation from the pure elements, meV per atom: 186.3

=====

(9)
Entry from Alexandria: Li2CdTc after structural relaxation (PBE).

Cell lengths 2.8170, 2.8170, 29.3364 Å; angles 90.00, 90.00, 120.00 degrees
With the nearest neighbours (Å) after each atom.
Space group R3m (No. 160, hexagonal axes)
Unique sites:
Li1 0.0000 0.0000 0.0000 (multiplicity 3)  3 Tc 2.78, 9 Li 2.82-3.03
Li2 0.0000 0.0000 0.2462 (multiplicity 3)  9 Li 2.82-3.03, 3 Cd 2.97
Cd1 0.0000 0.0000 0.4950 (multiplicity 3)  6 Cd 2.82, 3 Li 2.97, 3 Tc 2.98
Tc1 0.0000 0.0000 0.7433 (multiplicity 3)  3 Li 2.78, 6 Tc 2.82, 3 Cd 2.98

Results
Total magnetic moment, μB/f.u.: 0.57
Theoretical density, g/cm³: 5.542
Energy of formation from the pure elements, meV per atom: 250.7

=====

(10)
Entry from Alexandria: Li2CdTc after structural relaxation (PBE).

Cell lengths 2.7259, 4.8252, 4.9452 Å; angles 90.00, 90.00, 90.00 degrees
With the nearest neighbours (Å) after each atom.
Space group Pmmm (No. 47)
Unique sites:
Li1 0.0000 0.0000 0.0000 (multiplicity 1)  6 Li 2.73-2.82, 4 Tc 2.77
Li2 0.5000 0.0000 0.5000 (multiplicity 1)  6 Li 2.73-2.82, 4 Cd 2.77
Cd1 0.0000 0.5000 0.5000 (multiplicity 1)  2 Cd 2.73, 4 Li 2.77, 4 Tc 2.82
Tc1 0.5000 0.5000 0.0000 (multiplicity 1)  2 Tc 2.73, 4 Li 2.77, 4 Cd 2.82

Results
Total magnetic moment, μB/f.u.: 0.39
Theoretical density, g/cm³: 5.726
Energy of formation from the pure elements, meV per atom: 262.0

=====

(11)
Entry from Alexandria: Li2CdTc after structural relaxation (PBE).

Cell lengths 4.5459, 4.5459, 6.4861 Å; angles 90.00, 90.00, 90.00 degrees
With the nearest neighbours (Å) after each atom.
Space group I-4m2 (No. 119)
Unique sites:
Li1 0.0000 0.0000 0.0000 (multiplicity 2)  4 Tc 2.79, 4 Li 2.79
Li2 0.0000 0.5000 0.2500 (multiplicity 2)  4 Cd 2.79, 4 Li 2.79
Cd1 0.0000 0.0000 0.5000 (multiplicity 2)  4 Li 2.79, 4 Tc 2.79
Tc1 0.0000 0.5000 0.7500 (multiplicity 2)  4 Cd 2.79, 4 Li 2.79

Results
Total magnetic moment, μB/f.u.: 2.19
Theoretical density, g/cm³: 5.557
Energy of formation from the pure elements, meV per atom: 391.0

=====

(12)
Entry from Alexandria: Li2CdTc after structural relaxation (PBE).

Cell lengths 2.6610, 5.0361, 9.7953 Å; angles 90.00, 90.00, 90.00 degrees
With the nearest neighbours (Å) after each atom.
Space group Immm (No. 71)
Unique sites:
Li1 0.0000 0.0000 0.2462 (multiplicity 4)  6 Li 2.66-2.85, 2 Tc 2.75, 2 Cd 2.82
Cd1 0.0000 0.5000 0.0000 (multiplicity 2)  2 Cd 2.66, 4 Li 2.82, 4 Tc 2.85
Tc1 0.0000 0.5000 0.5000 (multiplicity 2)  2 Tc 2.66, 4 Li 2.75, 4 Cd 2.85

Results
Total magnetic moment, μB/f.u.: 0.31
Theoretical density, g/cm³: 5.675
Energy of formation from the pure elements, meV per atom: 254.2